Record 1
Compound: AsPW4C2
Source: the Open Quantum Materials Database
Functional: PBE
Structure: relaxed

Space-group type: No. 187
Calculated total energy, eV/atom: -9.9087

abc: 3.2269 3.2269 11.8222
angles: 90.00 90.00 120.00
Closest atoms and distances in Å follow each position.
Sites, in units of the cell vectors:
As 0.0000 0.0000 0.0000  6 W 2.74
C 0.3333 0.6667 0.2545  6 W 2.11-2.21
C 0.3333 0.6667 0.7455  6 W 2.11-2.21
P 0.6667 0.3333 0.5000  6 W 2.53
W 0.6667 0.3333 0.1705  3 C 2.11
W 0.0000 0.0000 0.3547  3 C 2.21
W 0.0000 0.0000 0.6453  3 C 2.21
W 0.6667 0.3333 0.8295  3 C 2.11

Record 2
Compound: AsPW4C2
Source: the Open Quantum Materials Database
Functional: PBE
Structure: relaxed

Space-group type: No. 187
Calculated total energy, eV/atom: -9.9088

abc: 3.2270 3.2270 11.8213
angles: 90.00 90.00 120.00
Closest atoms and distances in Å follow each position.
Sites, in units of the cell vectors:
As 0.3333 0.6667 0.5000  6 W 2.74
C 0.0000 0.0000 0.2455  6 W 2.11-2.21
C 0.0000 0.0000 0.7545  6 W 2.11-2.21
P 0.6667 0.3333 0.0000  6 W 2.53
W 0.3333 0.6667 0.1453  3 C 2.21
W 0.6667 0.3333 0.3295  3 C 2.11
W 0.6667 0.3333 0.6705  3 C 2.11
W 0.3333 0.6667 0.8547  3 C 2.21

Record 3
Compound: Ta4AsPbC2
Source: the Open Quantum Materials Database
Functional: PBE
Structure: relaxed

Space-group type: No. 187
Calculated total energy, eV/atom: -9.6533

abc: 3.3205 3.3205 12.9750
angles: 90.00 90.00 120.00
Closest atoms and distances in Å follow each position.
Sites, in units of the cell vectors:
As 0.6667 0.3333 0.0000  6 Ta 2.67
C 0.3333 0.6667 0.2323  6 Ta 2.20-2.24
C 0.3333 0.6667 0.7677  6 Ta 2.20-2.24
Pb 0.0000 0.0000 0.5000  6 Ta 3.07, 6 Pb 3.32
Ta 0.0000 0.0000 0.1428  3 C 2.24
Ta 0.6667 0.3333 0.3151  3 C 2.20
Ta 0.6667 0.3333 0.6849  3 C 2.20
Ta 0.0000 0.0000 0.8572  3 C 2.24